Record 1
Zn2CrAg | PBE-GGA | relaxed

a b c (Å): 2.9494 3.7436 5.7417
angles (deg): 90.00 90.00 90.00
Space group Pmm2 (No. 25)
Inequivalent atoms, fractional coordinates:
Zn  0.0000  0.0000  0.0000 [1 per cell]
Zn  0.5000  0.5000  0.2504 [1 per cell]
Cr  0.5000  0.5000  0.7724 [1 per cell]
Ag  0.0000  0.0000  0.5007 [1 per cell]

Properties
The calculation puts the raw total energy at -3.54 eV/atom. For the total moment, the calculation gives 0.926 μB/atom.

Record 2
LiAcRh2 | PBE-GGA | relaxed

a b c (Å): 4.3556 4.3556 3.9866
angles (deg): 90.00 90.00 90.00
Space group P4/mmm (No. 123)
Inequivalent atoms, fractional coordinates:
Li  0.0000  0.0000  0.0000 [1 per cell]
Ac  0.5000  0.5000  0.0000 [1 per cell]
Rh  0.0000  0.5000  0.5000 [2 per cell]

Properties
The calculation puts the raw total energy at -5.51 eV/atom. The polymorph energy (0 for the lowest one) comes out at 0.044 eV per atom. For the total moment, the calculation gives 0.000 μB/atom.

Record 3
KTa2 | PBE-GGA | relaxed

a b c (Å): 3.4233 26.2706 4.3577
angles (deg): 90.00 90.00 90.00
Space group Cmcm (No. 63)
Inequivalent atoms, fractional coordinates:
K  0.0000  0.1708  0.2500 [4 per cell]
Ta  0.0000  0.0443  0.7500 [4 per cell]
Ta  0.0000  0.4587  0.7500 [4 per cell]

Properties
The calculation puts the raw total energy at -7.72 eV/atom. The polymorph energy (0 for the lowest one) comes out at 0.000 eV per atom. For the total moment, the calculation gives 0.000 μB/atom.

Record 4
Rb2PdRu | PBE-GGA | relaxed

a b c (Å): 12.6717 12.6717 4.8559
angles (deg): 90.00 90.00 90.00
Space group I-42d (No. 122)
Inequivalent atoms, fractional coordinates:
Rb  0.0698  0.7500  0.1250 [8 per cell]
Pd  0.0000  0.0000  0.0000 [4 per cell]
Ru  0.0000  0.0000  0.5000 [4 per cell]

Properties
The calculation puts the raw total energy at -3.17 eV/atom. The polymorph energy (0 for the lowest one) comes out at 0.000 eV per atom. For the total moment, the calculation gives 0.576 μB/atom.

Record 5
K2ZrTl | PBE-GGA | relaxed

a b c (Å): 10.0956 3.3590 9.4828
angles (deg): 90.00 93.73 90.00
Space group Cm (No. 8)
Inequivalent atoms, fractional coordinates:
K  0.0000  0.0000  0.0000 [2 per cell]
K  0.2307  0.0000  0.6313 [2 per cell]
Zr  0.2611  0.5000  0.2714 [2 per cell]
Tl  0.4967  0.0000  0.3806 [2 per cell]

Properties
The calculation puts the raw total energy at -2.84 eV/atom. The polymorph energy (0 for the lowest one) comes out at 0.100 eV per atom. For the total moment, the calculation gives 0.000 μB/atom.

Record 6
Nb2SN | PBE-GGA | relaxed

a b c (Å): 5.0689 5.0689 10.6252
angles (deg): 90.00 90.00 90.00
Space group I-42d (No. 122)
Inequivalent atoms, fractional coordinates:
Nb  0.1845  0.2500  0.1250 [8 per cell]
S  0.0000  0.0000  0.5000 [4 per cell]
N  0.0000  0.0000  0.0000 [4 per cell]

Properties
The calculation puts the raw total energy at -8.64 eV/atom. The polymorph energy (0 for the lowest one) comes out at 0.000 eV per atom. The value obtained for the uncorrected formation energy is -0.487 eV/atom. For the total moment, the calculation gives 0.000 μB/atom.

Record 7
PaGeCl6 | PBE-GGA | relaxed

a b c (Å): 6.6916 12.4956 6.6934
angles (deg): 90.00 106.26 90.00
Space group C2/m (No. 12)
Inequivalent atoms, fractional coordinates:
Pa  0.0000  0.0000  0.0000 [2 per cell]
Ge  0.0000  0.5000  0.5000 [2 per cell]
Cl  0.2480  0.0000  0.7546 [4 per cell]
Cl  0.2482  0.1414  0.2493 [8 per cell]

Properties
The calculation puts the raw total energy at -4.61 eV/atom. The value obtained for the uncorrected formation energy is -1.458 eV/atom. For the total moment, the calculation gives 0.126 μB/atom.

Record 8
Si3GePd | PBE-GGA | relaxed

a b c (Å): 4.6905 4.6905 4.6905
angles (deg): 90.00 90.00 90.00
Space group Pm-3m (No. 221)
Inequivalent atoms, fractional coordinates:
Si  0.0000  0.0000  0.5000 [3 per cell]
Ge  0.5000  0.5000  0.5000 [1 per cell]
Pd  0.0000  0.0000  0.0000 [1 per cell]

Properties
The calculation puts the raw total energy at -4.55 eV/atom. The polymorph energy (0 for the lowest one) comes out at 0.000 eV per atom. The value obtained for the uncorrected formation energy is 0.662 eV/atom. For the total moment, the calculation gives 0.000 μB/atom.

Record 9
Ac2Zn6CoPd | PBE-GGA | relaxed

a b c (Å): 6.7438 6.7576 9.5333
angles (deg): 90.00 90.00 90.00
Space group Immm (No. 71)
Inequivalent atoms, fractional coordinates:
Ac  0.0000  0.0000  0.2499 [4 per cell]
Zn  0.0000  0.5000  0.2421 [4 per cell]
Zn  0.2421  0.2580  0.0000 [8 per cell]
Co  0.0000  0.5000  0.0000 [2 per cell]
Pd  0.0000  0.5000  0.5000 [2 per cell]

Properties
The calculation puts the raw total energy at -3.07 eV/atom. For the total moment, the calculation gives 0.104 μB/atom.

Record 10
Mn2CuPd3 | PBE-GGA | relaxed

a b c (Å): 2.9798 2.9798 9.9495
angles (deg): 90.00 90.00 90.00
Space group P4/mmm (No. 123)
Inequivalent atoms, fractional coordinates:
Mn  0.0000  0.0000  0.1732 [2 per cell]
Cu  0.0000  0.0000  0.5000 [1 per cell]
Pd  0.5000  0.5000  0.0000 [1 per cell]
Pd  0.5000  0.5000  0.3395 [2 per cell]

Properties
The calculation puts the raw total energy at -6.52 eV/atom. For the total moment, the calculation gives 1.500 μB/atom.

Record 11
MgCdAgIr | PBE-GGA | relaxed

a b c (Å): 6.5280 6.5280 6.5280
angles (deg): 90.00 90.00 90.00
Space group F-43m (No. 216)
Inequivalent atoms, fractional coordinates:
Mg  0.0000  0.0000  0.0000 [4 per cell]
Cd  0.0000  0.0000  0.5000 [4 per cell]
Ag  0.2500  0.2500  0.7500 [4 per cell]
Ir  0.2500  0.2500  0.2500 [4 per cell]

Properties
The calculation puts the raw total energy at -3.63 eV/atom. For the total moment, the calculation gives 0.000 μB/atom.

Record 12
Cr2HI | PBE-GGA | relaxed

a b c (Å): 6.0785 6.0785 6.0785
angles (deg): 90.00 90.00 90.00
Space group Fm-3m (No. 225)
Inequivalent atoms, fractional coordinates:
Cr  0.2500  0.2500  0.2500 [8 per cell]
H  0.0000  0.0000  0.0000 [4 per cell]
I  0.0000  0.0000  0.5000 [4 per cell]

Properties
The calculation puts the raw total energy at -4.90 eV/atom. The polymorph energy (0 for the lowest one) comes out at 0.462 eV per atom. For the total moment, the calculation gives 1.153 μB/atom.

Copy entry 6 word for word.
Nb2SN | PBE-GGA | relaxed

a b c (Å): 5.0689 5.0689 10.6252
angles (deg): 90.00 90.00 90.00
Space group I-42d (No. 122)
Inequivalent atoms, fractional coordinates:
Nb  0.1845  0.2500  0.1250 [8 per cell]
S  0.0000  0.0000  0.5000 [4 per cell]
N  0.0000  0.0000  0.0000 [4 per cell]

Properties
The calculation puts the raw total energy at -8.64 eV/atom. The polymorph energy (0 for the lowest one) comes out at 0.000 eV per atom. The value obtained for the uncorrected formation energy is -0.487 eV/atom. For the total moment, the calculation gives 0.000 μB/atom.